(1)
A plane-wave DFT calculation with PBE-GGA was carried out for a relaxed structure of AcSmPaRh3.

Calculated values
Magnetic moment (μB/cell): 0.0
Energy of formation (eV/f.u.): -3.85
SG: C2/c
Crystal system: monoclinic

Structure (extended XYZ):
```
12
Lattice="3.3806 -7.4131 0.0000 3.3806 7.4131 0.0000 -2.5342 0.0000 5.9372" Properties=species:S:1:pos:R:3 pbc="T T T"
Ac 1.4799 4.0591 4.4529
Ac 2.7470 -4.0591 1.4843
Sm 2.7470 1.3169 1.4843
Sm 1.4799 -1.3169 4.4529
Pa 2.7470 6.7476 1.4843
Pa 1.4799 -6.7476 4.4529
Rh 0.3793 1.1560 3.4048
Rh 2.7470 4.2969 1.4843
Rh 1.6464 -1.1560 0.4362
Rh 2.5805 1.1560 5.5011
Rh 1.4799 -4.2969 4.4529
Rh 3.8476 -1.1560 2.5325
```

(2)
A plane-wave DFT calculation with PBE-GGA was carried out for a relaxed structure of NdReSi2Os.

Calculated values
Magnetic moment (μB/cell): 0.0
SG: I-4m2
Formation energy from raw total energies (eV/atom): -0.547
Crystal system: tetragonal

Structure (extended XYZ):
```
10
Lattice="4.1763 0.0000 0.0000 0.0000 4.1763 0.0000 0.0000 0.0000 10.1494" Properties=species:S:1:pos:R:3 pbc="T T T"
Nd 0.0000 0.0000 0.0000
Nd 2.0881 2.0881 5.0747
Re 0.0000 2.0881 7.6121
Re 2.0881 0.0000 2.5374
Si 0.0000 0.0000 3.7850
Si 0.0000 0.0000 6.3645
Si 2.0881 2.0881 1.2897
Si 2.0881 2.0881 8.8597
Os 0.0000 2.0881 2.5374
Os 2.0881 0.0000 7.6121
```

(3)
A plane-wave DFT calculation with PBE-GGA was carried out for a relaxed structure of NaZn4Au8.

Calculated values
Magnetic moment (μB/cell): 0.0
Energy of formation (eV/f.u.): 0.47
SG: R-3m
Crystal system: trigonal

Structure (extended XYZ):
```
13
Lattice="3.4736 2.0055 6.1898 -3.4736 2.0055 6.1898 0.0000 -4.0110 6.1898" Properties=species:S:1:pos:R:3 pbc="T T T"
Na 0.0000 0.0000 0.0000
Zn -1.7368 -1.0027 6.1898
Zn -1.7368 1.0027 12.3796
Zn 0.0000 2.0055 6.1898
Zn 0.0000 0.0000 9.2847
Au -2.0467 -1.1817 10.1641
Au 0.0000 0.0000 4.6336
Au 0.0000 -2.3634 8.4054
Au -2.0468 1.1817 8.4054
Au 2.0468 -1.1817 10.1641
Au 0.0000 2.3634 10.1641
Au 0.0000 0.0000 13.9358
Au 2.0467 1.1817 8.4054
```

(4)
A plane-wave DFT calculation with PBE-GGA was carried out for a relaxed structure of NaSr3Ir.

Calculated values
Magnetic moment (μB/cell): 0.0
Energy of formation (eV/f.u.): -0.01
SG: C2/c
Crystal system: monoclinic

Structure (extended XYZ):
```
20
Lattice="6.8845 -7.6997 0.0000 6.8845 7.6997 0.0000 -2.1735 0.0000 7.3292" Properties=species:S:1:pos:R:3 pbc="T T T"
Na 5.2544 4.8523 5.4969
Na 6.3412 4.1252 1.8323
Na 5.2544 -4.1252 5.4969
Na 6.3412 -4.8523 1.8323
Sr -0.3690 0.6344 6.8700
Sr 3.1844 2.8044 2.4765
Sr 0.7178 -0.6344 3.2054
Sr 3.2641 1.3316 6.1633
Sr 4.3508 -1.3316 2.4987
Sr 2.0976 -2.8044 6.1412
Sr 9.4980 2.8044 1.1881
Sr 7.2447 1.3316 4.8305
Sr 8.3315 -1.3316 1.1659
Sr 10.8778 0.6344 4.1239
Sr 8.4112 -2.8044 4.8527
Sr 11.9646 -0.6344 0.4592
Ir 0.9155 2.0084 4.4651
Ir 2.0022 -2.0084 0.8005
Ir 9.5933 2.0084 6.5287
Ir 10.6801 -2.0084 2.8641
```

(5)
A plane-wave DFT calculation with PBE-GGA was carried out for a relaxed structure of Ag2C.

Calculated values
Magnetic moment (μB/cell): 0.0
Energy of formation (eV/f.u.): 4.67
SG: P-6m2
Crystal system: hexagonal

Structure (extended XYZ):
```
3
Lattice="3.0368 0.0000 0.0000 -1.5184 2.6299 0.0000 0.0000 0.0000 5.8282" Properties=species:S:1:pos:R:3 pbc="T T T"
Ag 0.0000 0.0000 1.4220
Ag 0.0000 0.0000 4.4062
C 0.0000 1.7533 2.9141
```

(6)
A plane-wave DFT calculation with PBE-GGA was carried out for a relaxed structure of LaRePO2.

Calculated values
Magnetic moment (μB/cell): 1.0
SG: P4/mmm
Formation energy from raw total energies (eV/atom): -1.327
Crystal system: tetragonal

Structure (extended XYZ):
```
5
Lattice="4.0204 0.0000 0.0000 0.0000 4.0204 0.0000 0.0000 0.0000 4.9074" Properties=species:S:1:pos:R:3 pbc="T T T"
La 0.0000 0.0000 0.0000
Re 2.0102 2.0102 2.4537
P 2.0102 2.0102 0.0000
O 0.0000 2.0102 2.4537
O 2.0102 0.0000 2.4537
```

Record-wise V values, in Å³/cell: 298, 177, 259, 777, 47, 79